Entry from the Alexandria database: a geometry-optimized KCd2Ga6 structure (GGA-PBE).

Output
Total DFT energy (no corrections), eV/atom: -2.3121
Spin magnetization, μB per cell: 0.00

```
data_KCd2Ga6
_chemical_formula_sum 'K2 Cd4 Ga12'
_symmetry_space_group_name_H-M 'C 1 2/m 1'
_symmetry_Int_Tables_number 12
_symmetry_space_group_name_Hall '-C 2y'
_cell_length_a 14.895
_cell_length_b 9.115
_cell_length_c 3.063
_cell_angle_alpha 90.00
_cell_angle_beta 100.41
_cell_angle_gamma 90.00
loop_
_atom_site_label
_atom_site_fract_x
_atom_site_fract_y
_atom_site_fract_z
_atom_site_occupancy
K1 0.000 0.000 0.000 1
Cd1 0.192 0.500 0.196 1
Ga1 0.000 0.356 0.500 1
Ga2 0.166 0.228 0.671 1
```